(1)
Compound: Nd2Ga2Hg3
Source: Alexandria via LeMat-Bulk
Functional: PBE
Structure: relaxed

abc: 11.2043 4.5503 6.7631
angles: 90.00 91.55 90.00
Space group C2/m (No. 12)
Asymmetric unit:
Nd  0.1325  0.0000  0.3106
Ga  0.0862  0.5000  0.6205
Hg  0.0000  0.5000  0.0000
Hg  0.1784  0.0000  0.8288

Results
Calculated formation energy: -0.430 eV/atom
Mass density: 9.9 g cm⁻³
Volume: 24.62 Å³/atom
Electronic total energy: -2.79 eV/atom

=====

(2)
Compound: Ba2CoGeTe
Source: Alexandria via LeMat-Bulk
Functional: PBE
Structure: relaxed

abc: 5.9646 5.9646 4.4934
angles: 90.00 90.00 90.00
Space group P4/mmm (No. 123)
Asymmetric unit:
Ba  0.0000  0.5000  0.0000
Co  0.0000  0.0000  0.0000
Ge  0.0000  0.0000  0.5000
Te  0.5000  0.5000  0.5000

Results
Formation energy from raw total energies: -0.643 eV/atom
Mass density: 5.5 g cm⁻³
Volume: 31.97 Å³/atom
Electronic total energy: -4.38 eV/atom

=====

(3)
Compound: SiPPb2
Source: Alexandria via LeMat-Bulk
Functional: PBE
Structure: relaxed

abc: 3.2498 3.2498 9.5635
angles: 90.00 90.00 90.00
Space group P4mm (No. 99)
Asymmetric unit:
Si  0.0000  0.0000  0.0000
P  0.5000  0.5000  0.9260
Pb  0.0000  0.0000  0.2956
Pb  0.5000  0.5000  0.6327

Results
Formation energy from raw total energies: 0.139 eV/atom
Mass density: 7.8 g cm⁻³
Volume: 25.25 Å³/atom
Electronic total energy: -4.42 eV/atom
Relative energy among the computed polymorphs: 75.6 meV/atom

=====

(4)
Compound: LaMn2Cd
Source: Alexandria via LeMat-Bulk
Functional: PBE
Structure: relaxed

abc: 4.9506 4.9506 3.3384
angles: 90.00 90.00 90.00
Space group P4/mmm (No. 123)
Asymmetric unit:
La  0.0000  0.0000  0.0000
Mn  0.0000  0.5000  0.5000
Cd  0.5000  0.5000  0.0000

Results
Calculated formation energy: 0.368 eV/atom
Mass density: 7.3 g cm⁻³
Volume: 20.45 Å³/atom
Electronic total energy: -5.68 eV/atom

=====

(5)
Compound: Zr2Mn2Os
Source: Alexandria via LeMat-Bulk
Functional: PBE
Structure: relaxed

abc: 6.2272 6.2272 4.2498
angles: 90.00 90.00 90.00
Space group P4/mbm (No. 127)
Asymmetric unit:
Zr  0.1833  0.3167  0.0000
Mn  0.1166  0.6166  0.5000
Os  0.0000  0.0000  0.5000

Results
Calculated formation energy: -0.086 eV/atom
Mass density: 9.7 g cm⁻³
Volume: 16.48 Å³/atom
Electronic total energy: -9.42 eV/atom
Relative energy among the computed polymorphs: 0.0 meV/atom

=====

(6)
Compound: Sr2ZnGa
Source: Alexandria via LeMat-Bulk
Functional: PBE
Structure: relaxed

abc: 7.8026 4.5006 8.3968
angles: 90.00 107.96 90.00
Space group Cm (No. 8)
Asymmetric unit:
Sr  0.0000  0.0000  0.0000
Sr  0.1752  0.0000  0.5250
Zn  0.4208  0.0000  0.2619
Ga  0.2549  0.5000  0.2636

Results
Calculated formation energy: -0.296 eV/atom
Mass density: 3.7 g cm⁻³
Volume: 35.06 Å³/atom
Electronic total energy: -2.21 eV/atom

=====

(7)
Compound: PrDy3Pt2
Source: Alexandria via LeMat-Bulk
Functional: PBE
Structure: relaxed

abc: 16.5461 5.2112 7.4194
angles: 90.00 95.54 90.00
Space group C2/m (No. 12)
Asymmetric unit:
Pr  0.1926  0.0000  0.3310
Dy  0.0337  0.0000  0.7751
Dy  0.1025  0.5000  0.5316
Dy  0.1625  0.5000  0.9908
Pt  0.0142  0.5000  0.1940
Pt  0.2046  0.0000  0.7340

Results
Calculated formation energy: -0.797 eV/atom
Mass density: 10.6 g cm⁻³
Volume: 26.53 Å³/atom
Electronic total energy: -5.91 eV/atom
Relative energy among the computed polymorphs: 118.0 meV/atom

=====

(8)
Compound: Ac3Al7Ag2
Source: Alexandria via LeMat-Bulk
Functional: PBE
Structure: relaxed

abc: 5.8637 5.8637 27.4793
angles: 90.00 90.00 120.00
Space group R-3m (No. 166, hexagonal axes)
Asymmetric unit:
Ac  0.0000  0.0000  0.0000
Ac  0.0000  0.0000  0.1418
Al  0.0000  0.0000  0.5000
Al  0.0086  0.5043  0.9195
Ag  0.0000  0.0000  0.3365

Results
Calculated formation energy: -0.368 eV/atom
Mass density: 6.6 g cm⁻³
Volume: 22.73 Å³/atom
Electronic total energy: -4.05 eV/atom

=====

(9)
Compound: Dy3AgPb3Se8
Source: Alexandria via LeMat-Bulk
Functional: PBE
Structure: relaxed

abc: 8.3162 8.3162 21.2535
angles: 90.00 90.00 120.00
Space group R-3m (No. 166, hexagonal axes)
Asymmetric unit:
Dy  0.0000  0.5000  0.0000
Ag  0.0000  0.0000  0.0000
Pb  0.0000  0.5000  0.5000
Se  0.0000  0.0000  0.2569
Se  0.0092  0.5046  0.2570

Results
Formation energy from raw total energies: -1.076 eV/atom
Mass density: 7.2 g cm⁻³
Volume: 28.29 Å³/atom
Electronic total energy: -4.79 eV/atom

=====

(10)
Compound: CdAgHgPb
Source: Alexandria via LeMat-Bulk
Functional: PBE
Structure: relaxed

abc: 7.2672 7.2672 7.2672
angles: 90.00 90.00 90.00
Space group F-43m (No. 216)
Asymmetric unit:
Cd  0.0000  0.0000  0.0000
Ag  0.0000  0.0000  0.5000
Hg  0.2500  0.2500  0.7500
Pb  0.2500  0.2500  0.2500

Results
Calculated formation energy: 0.109 eV/atom
Mass density: 10.9 g cm⁻³
Volume: 23.99 Å³/atom
Electronic total energy: -1.83 eV/atom

=====

(11)
Compound: K2HgGeBr
Source: Alexandria via LeMat-Bulk
Functional: PBE
Structure: relaxed

abc: 6.1914 6.1914 5.4615
angles: 90.00 90.00 90.00
Space group P4/mmm (No. 123)
Asymmetric unit:
K  0.0000  0.5000  0.0000
Hg  0.0000  0.0000  0.5000
Ge  0.5000  0.5000  0.5000
Br  0.5000  0.5000  0.0000

Results
Formation energy from raw total energies: -0.193 eV/atom
Mass density: 3.4 g cm⁻³
Volume: 41.87 Å³/atom
Electronic total energy: -1.95 eV/atom

=====

(12)
Compound: Pm6InAu2
Source: Alexandria via LeMat-Bulk
Functional: PBE
Structure: relaxed

abc: 9.8373 10.1774 10.8260
angles: 90.00 90.00 90.00
Space group Immm (No. 71)
Asymmetric unit:
Pm  0.0000  0.1980  0.2410
Pm  0.2051  0.5000  0.1735
Pm  0.2181  0.3184  0.5000
In  0.0000  0.0000  0.0000
In  0.0000  0.0000  0.5000
Au  0.0000  0.3454  0.0000
Au  0.0000  0.5000  0.3685

Results
Calculated formation energy: -0.452 eV/atom
Mass density: 8.4 g cm⁻³
Volume: 30.11 Å³/atom
Electronic total energy: -4.65 eV/atom

=====

Copy entry 4 word for word.
Compound: LaMn2Cd
Source: Alexandria via LeMat-Bulk
Functional: PBE
Structure: relaxed

abc: 4.9506 4.9506 3.3384
angles: 90.00 90.00 90.00
Space group P4/mmm (No. 123)
Asymmetric unit:
La  0.0000  0.0000  0.0000
Mn  0.0000  0.5000  0.5000
Cd  0.5000  0.5000  0.0000

Results
Calculated formation energy: 0.368 eV/atom
Mass density: 7.3 g cm⁻³
Volume: 20.45 Å³/atom
Electronic total energy: -5.68 eV/atom